The following is a GGA+U calculation of a relaxed structure of Ba2FeWO6, from Alexandria via LeMat-Bulk.

Unit cell a=5.873 b=5.873 c=5.872 alpha=120.06 beta=120.89 gamma=89.19
Atoms (fractional coordinates):
O1 0.739 0.737 0.476
O2 0.261 0.263 0.524
O3 0.735 0.734 0.000
O4 0.261 0.737 0.997
O5 0.265 0.266 0.000
O6 0.739 0.263 0.003
Ba1 0.252 0.752 0.500
Ba2 0.748 0.248 0.500
W1 0.500 0.500 0.000
Fe1 0.000 0.000 0.000

- Electronic total energy: -7.043 eV per atom
- Spin magnetization: 0.40 μB per atom
- Space group: Immm (71)
- Calculated volume: 142.2 Å³ per cell
- Density of states at the Fermi level: 0.0 states/eV per cell